Record 1
The following is a DFT calculation (GGA-PBEsol) of an optimized crystal structure of SrCa2Mg.

As for the symmetry: F-43m (216). The energy of formation comes out at 13 meV per atom. The value obtained for the density is 2.15 g/cm3.

Cell: 5.9464 5.9464 5.9464 Å, 60.00 60.00 60.00°
Closest atoms and distances in Å follow each position.
Element x y z (fractional)
Sr 0.2500 0.2500 0.2500  4 Ca 3.64, 4 Mg 3.64
Ca 0.0000 0.0000 0.0000  4 Ca 3.64, 4 Sr 3.64
Ca 0.7500 0.7500 0.7500  4 Mg 3.64, 4 Ca 3.64
Mg 0.5000 0.5000 0.5000  4 Ca 3.64, 4 Sr 3.64


Record 2
The following is a DFT calculation (GGA-PBEsol) of an optimized crystal structure of SrMg2Cu.

As for the symmetry: Cmmm (65). The energy of formation comes out at 98 meV per atom. The value obtained for the density is 3.07 g/cm3.

Cell: 5.2237 4.2991 5.2269 Å, 90.00 113.06 90.00°
Closest atoms and distances in Å follow each position.
Element x y z (fractional)
Cu 0.0000 0.5000 0.5000  4 Mg 2.62, 2 Sr 2.88
Mg 0.8288 0.0000 0.6723  2 Cu 2.62
Mg 0.1712 0.0000 0.3277  2 Cu 2.62
Sr 0.5000 0.5000 0.0000  2 Cu 2.88


Record 3
The following is a DFT calculation (GGA-PBEsol) of an optimized crystal structure of LiV2P2O8.

As for the symmetry: P2_1/c (14). The value obtained for the density is 3.60 g/cm3. The calculation puts the energy above the lowest structure with this stoichiometry at 0 meV per atom.

Cell: 4.7188 5.7925 10.0913 Å, 90.00 90.00 90.98°
Closest atoms and distances in Å follow each position.
Element x y z (fractional)
Li 0.7499 0.2499 0.7483  6 O 2.11-2.14
Li 0.2501 0.7501 0.2483  6 O 2.11-2.14
V 0.2703 0.0018 0.9757  6 O 2.03-2.12
V 0.2297 0.4982 0.5209  6 O 2.03-2.12
V 0.7297 0.9982 0.4757  6 O 2.03-2.12
V 0.7703 0.5018 0.0209  6 O 2.03-2.12
P 0.3319 0.5024 0.8415  4 O 1.52-1.60
P 0.1681 0.9975 0.6552  4 O 1.52-1.60
P 0.6681 0.4976 0.3415  4 O 1.52-1.60
P 0.8319 0.0025 0.1552  4 O 1.52-1.60
O 0.4684 0.7074 0.9223  1 P 1.57
O 0.4830 0.2925 0.9141  1 P 1.60
O 0.0104 0.4897 0.8529  1 P 1.52
O 0.0636 0.0031 0.7983  1 P 1.53
O 0.4363 0.4968 0.6984  1 P 1.53
O 0.4896 0.0102 0.6438  1 P 1.52
O 0.0316 0.7925 0.5743  1 P 1.57
O 0.0171 0.2074 0.5825  1 P 1.60
O 0.5316 0.2926 0.4223  1 P 1.57
O 0.5170 0.7075 0.4141  1 P 1.60
O 0.9896 0.5103 0.3529  1 P 1.52
O 0.9364 0.9969 0.2983  1 P 1.53
O 0.5637 0.5032 0.1984  1 P 1.53
O 0.5104 0.9898 0.1438  1 P 1.52
O 0.9684 0.2075 0.0743  1 P 1.57
O 0.9829 0.7926 0.0825  1 P 1.60


Number 1: V 149 Å³/cell. Number 2: V 108 Å³/cell. Number 3: V 276 Å³/cell.